(1)
CaMgTl2 after structural relaxation. Source: the Alexandria database, functional PBE-GGA.

M_tot in μB per atom: 0.0000
Final energy in eV per formula unit: -9.34
Energy of formation from the pure elements in eV per atom: -0.2532

Geometry as CIF:
```
data_CaMgTl2
_cell_length_a 5.117
_cell_length_b 5.117
_cell_length_c 4.141
_cell_angle_alpha 90.00
_cell_angle_beta 90.00
_cell_angle_gamma 90.00
_symmetry_space_group_name_H-M 'P 4/m m m'
_symmetry_Int_Tables_number 123
_symmetry_space_group_name_Hall '-P 4 2'
loop_
_atom_site_label
_atom_site_type_symbol
_atom_site_fract_x
_atom_site_fract_y
_atom_site_fract_z
Ca1 Ca 0.000 0.000 0.000
Mg1 Mg 0.500 0.500 0.000
Tl1 Tl 0.000 0.500 0.500
```

***

(2)
Ca2MgTl after structural relaxation. Source: the Alexandria database, functional PBE-GGA.

M_tot in μB per atom: 0.0000
Final energy in eV per formula unit: -8.55
Energy of formation from the pure elements in eV per atom: -0.1466

Geometry as CIF:
```
data_Ca2MgTl
_cell_length_a 4.888
_cell_length_b 4.888
_cell_length_c 10.146
_cell_angle_alpha 90.00
_cell_angle_beta 90.00
_cell_angle_gamma 90.00
_symmetry_space_group_name_H-M 'I -4 m 2'
_symmetry_Int_Tables_number 119
_symmetry_space_group_name_Hall 'I -4 -2'
loop_
_atom_site_label
_atom_site_type_symbol
_atom_site_fract_x
_atom_site_fract_y
_atom_site_fract_z
Ca1 Ca 0.000 0.000 0.000
Ca2 Ca 0.000 0.500 0.250
Mg1 Mg 0.000 0.500 0.750
Tl1 Tl 0.000 0.000 0.500
```

***

Repeat the first record exactly.
CaMgTl2 after structural relaxation. Source: the Alexandria database, functional PBE-GGA.

M_tot in μB per atom: 0.0000
Final energy in eV per formula unit: -9.34
Energy of formation from the pure elements in eV per atom: -0.2532

Geometry as CIF:
```
data_CaMgTl2
_cell_length_a 5.117
_cell_length_b 5.117
_cell_length_c 4.141
_cell_angle_alpha 90.00
_cell_angle_beta 90.00
_cell_angle_gamma 90.00
_symmetry_space_group_name_H-M 'P 4/m m m'
_symmetry_Int_Tables_number 123
_symmetry_space_group_name_Hall '-P 4 2'
loop_
_atom_site_label
_atom_site_type_symbol
_atom_site_fract_x
_atom_site_fract_y
_atom_site_fract_z
Ca1 Ca 0.000 0.000 0.000
Mg1 Mg 0.500 0.500 0.000
Tl1 Tl 0.000 0.500 0.500
```

***

- final energy of number 2 (Ca2MgTl)?
  -8.55 eV per formula unit